# DyNp3In3Te8 PBE optimized geometry
data_DyNp3In3Te8
_space_group_name_H-M_alt 'C 1 2/m 1'
_space_group_IT_number 12
_cell_length_a 15.2661
_cell_length_b 8.8207
_cell_length_c 9.5917
_cell_angle_alpha 90.00
_cell_angle_beta 122.03
_cell_angle_gamma 90.00
loop_
_space_group_symop_operation_xyz
'x,y,z'
'-x,-y,-z'
'-x,y,-z'
'x,-y,z'
'x+1/2,y+1/2,z'
'-x+1/2,-y+1/2,-z'
'-x+1/2,y+1/2,-z'
'x+1/2,-y+1/2,z'
loop_
_atom_site_label
_atom_site_type_symbol
_atom_site_fract_x
_atom_site_fract_y
_atom_site_fract_z
_atom_site_occupancy
Dy1 Dy 0.0000 0.0000 0.0000 1
Np1 Np 0.0000 0.5000 0.0000 1
Np2 Np 0.2500 0.2500 0.0000 1
In1 In 0.0000 0.0000 0.5000 1
In2 In 0.2500 0.2500 0.5000 1
Te1 Te 0.0107 0.2496 0.7820 1
Te2 Te 0.2396 0.0000 0.2179 1
Te3 Te 0.2408 0.5000 0.2201 1
# * formation energy without anion corrections: -0.68 eV/atom